[1]
Here is crystalline LaSmEr at its relaxed geometry from the Alexandria database. Energies are from GGA-PBE.

Results
Space group = Fmm2 (42)

Geometry as POSCAR:
```
LaSmEr
1.0
-4.9433 4.4002 -1.4449
-2.7490 -4.6567 4.0016
-2.6896 3.3594 5.2312
La Er Sm
2 2 2
Direct
0.2850 0.0000 0.7150
0.7823 0.0000 0.2177
0.2869 0.4997 0.7131
0.7872 0.5003 0.2128
0.2769 0.0000 0.2231
0.7769 0.0000 0.7231
```

[2]
Here is crystalline La12Sm3Er at its relaxed geometry from the Alexandria database. Energies are from GGA-PBE.

Results
Space group = P4/mmm (123)

Geometry as POSCAR:
```
La12Sm3Er
1.0
5.2244 0.0000 0.0000
0.0000 5.2244 0.0000
0.0000 0.0000 20.8917
La Sm Er
12 3 1
Direct
0.5000 0.5000 0.0000
0.5000 0.5000 0.2491
0.5000 0.5000 0.5000
0.5000 0.5000 0.7509
0.5000 0.0000 0.1237
0.5000 0.0000 0.3743
0.5000 0.0000 0.6257
0.5000 0.0000 0.8763
0.0000 0.5000 0.1237
0.0000 0.5000 0.3743
0.0000 0.5000 0.6257
0.0000 0.5000 0.8763
0.0000 0.0000 0.2488
0.0000 0.0000 0.5000
0.0000 0.0000 0.7512
0.0000 0.0000 0.0000
```

[3]
Here is crystalline La4SmEr8 at its relaxed geometry from the Alexandria database. Energies are from GGA-PBE.

Results
Space group = R-3m (166)

Geometry as POSCAR:
```
La4SmEr8
1.0
-5.0033 -4.9005 -3.4600
5.6480 -2.2659 -4.8976
2.0666 -5.6140 5.0232
La Sm Er
4 1 8
Direct
0.5000 0.0000 0.5000
0.0000 0.5000 0.5000
0.5000 0.5000 0.0000
0.0000 0.0000 0.0000
0.5000 0.5000 0.5000
0.2387 0.7592 0.2387
0.7613 0.7613 0.2408
0.7613 0.2408 0.7613
0.2408 0.7613 0.7613
0.7608 0.7608 0.7608
0.2392 0.2392 0.2392
0.7592 0.2387 0.2387
0.2387 0.2387 0.7592
```

[4]
Here is crystalline LaSmEr at its relaxed geometry from the Alexandria database. Energies are from GGA-PBE.

Results
Space group = P3m1 (156)

Geometry as POSCAR:
```
LaSmEr
1.0
3.6273 -0.0019 -0.0012
-1.8118 3.1423 -0.0018
0.0027 0.0074 8.8795
La Sm Er
1 1 1
Direct
0.4577 0.1048 0.1099
0.1243 0.4388 0.4553
0.7910 0.7721 0.7774
```

[5]
Here is crystalline La2SmEr at its relaxed geometry from the Alexandria database. Energies are from GGA-PBE.

Results
Space group = R-3m (166)

Geometry as POSCAR:
```
La2SmEr
1.0
3.6715 0.0000 0.0000
1.8358 3.1796 0.0000
1.8358 1.0599 11.7840
La Sm Er
2 1 1
Direct
0.7488 0.7488 0.7536
0.2512 0.2512 0.2464
0.5000 0.5000 0.5000
0.0000 0.0000 0.0000
```

[6]
Here is crystalline La2Sm2Er at its relaxed geometry from the Alexandria database. Energies are from GGA-PBE.

Results
Space group = Cmc2_1 (36)

Geometry as POSCAR:
```
La2Sm2Er
1.0
3.8551 0.0000 0.0000
-1.9276 6.8266 0.0000
0.0000 0.0000 13.4319
La Sm Er
4 4 2
Direct
0.9985 0.9970 0.1957
0.2603 0.5207 0.7993
0.0015 0.0030 0.6957
0.7397 0.4793 0.2993
0.2618 0.5236 0.0930
0.9027 0.8053 0.9476
0.7382 0.4764 0.5930
0.0973 0.1947 0.4476
0.6021 0.2042 0.9496
0.3979 0.7958 0.4496
```

[7]
Here is crystalline La4SmEr at its relaxed geometry from the Alexandria database. Energies are from GGA-PBE.

Results
Space group = C2/m (12)

Geometry as POSCAR:
```
La4SmEr
1.0
-2.2454 5.9121 0.6017
-4.4030 2.1171 -4.0582
-3.6202 -0.7663 5.1827
La Sm Er
4 1 1
Direct
0.3288 0.3294 0.9999
0.6712 0.6706 0.0001
0.8317 0.8317 0.5002
0.1683 0.1683 0.4998
0.5000 0.5000 0.5000
0.0000 0.0000 0.0000
```

[8]
Here is crystalline La3Sm4Er2 at its relaxed geometry from the Alexandria database. Energies are from GGA-PBE.

Results
Space group = C2/c (15)

Geometry as POSCAR:
```
La3Sm4Er2
1.0
-0.6523 -5.9401 2.5617
8.3959 2.1663 4.9227
-2.6098 4.8391 8.3180
La Sm Er
6 8 4
Direct
0.9728 0.8079 0.3121
0.5272 0.6879 0.1921
0.0272 0.1921 0.6879
0.4728 0.3121 0.8079
0.2500 0.5384 0.4616
0.7500 0.4616 0.5384
0.4180 0.0203 0.1827
0.0820 0.8173 0.9797
0.5820 0.9797 0.8173
0.9180 0.1827 0.0203
0.8947 0.1271 0.3634
0.6053 0.6366 0.8729
0.1053 0.8729 0.6366
0.3947 0.3634 0.1271
0.4203 0.1803 0.4724
0.0797 0.5276 0.8197
0.5797 0.8197 0.5276
0.9203 0.4724 0.1803
```

[9]
Here is crystalline LaSm3Er12 at its relaxed geometry from the Alexandria database. Energies are from GGA-PBE.

Results
Space group = P4/mmm (123)

Geometry as POSCAR:
```
LaSm3Er12
1.0
5.0122 0.0000 0.0000
0.0000 5.0122 0.0000
0.0000 0.0000 20.0845
La Sm Er
1 3 12
Direct
0.0000 0.0000 0.0000
0.0000 0.0000 0.2506
0.0000 0.0000 0.5000
0.0000 0.0000 0.7494
0.5000 0.5000 0.0000
0.5000 0.5000 0.2516
0.5000 0.5000 0.5000
0.5000 0.5000 0.7484
0.5000 0.0000 0.1273
0.5000 0.0000 0.3756
0.5000 0.0000 0.6244
0.5000 0.0000 0.8727
0.0000 0.5000 0.1273
0.0000 0.5000 0.3756
0.0000 0.5000 0.6244
0.0000 0.5000 0.8727
```

[10]
Here is crystalline LaSm4Er5 at its relaxed geometry from the Alexandria database. Energies are from GGA-PBE.

Results
Space group = I4mm (107)

Geometry as POSCAR:
```
LaSm4Er5
1.0
6.0059 0.0000 0.0000
3.0030 7.4653 0.0000
3.0030 0.0000 7.4653
La Sm Er
1 4 5
Direct
0.2016 0.0000 0.0000
0.4742 0.3276 0.6724
0.8018 0.6724 0.6724
0.1466 0.3276 0.3276
0.4742 0.6724 0.3276
0.7445 0.3794 0.0000
0.1239 0.0000 0.6206
0.7445 0.0000 0.3794
0.1239 0.6206 0.0000
0.6750 0.0000 0.0000
```

[11]
Here is crystalline La3Sm2Er3 at its relaxed geometry from the Alexandria database. Energies are from GGA-PBE.

Results
Space group = C2/m (12)

Geometry as POSCAR:
```
La3Sm2Er3
1.0
-2.7487 -2.9409 -4.3855
5.1019 -2.8597 -1.2801
-3.0515 -2.6188 7.7091
La Sm Er
3 2 3
Direct
0.3521 0.8534 0.7041
0.5000 0.5000 0.0000
0.6479 0.1466 0.2959
0.7533 0.7513 0.5066
0.2467 0.2487 0.4934
0.8790 0.3774 0.7579
0.1210 0.6226 0.2421
0.0000 0.0000 0.0000
```

[12]
Here is crystalline La4Sm5Er4 at its relaxed geometry from the Alexandria database. Energies are from GGA-PBE.

Results
Space group = C2/m (12)

Geometry as POSCAR:
```
La4Sm5Er4
1.0
-0.1231 1.7828 4.8248
1.3933 -7.6593 5.6092
9.0691 2.3265 2.1151
La Sm Er
4 5 4
Direct
0.9223 0.4598 0.6956
0.6178 0.3044 0.4600
0.0777 0.5402 0.3044
0.3822 0.6956 0.5400
0.6891 0.8523 0.7695
0.3109 0.1477 0.2305
0.0000 0.0000 0.0000
0.5415 0.7696 0.1475
0.4585 0.2304 0.8525
0.7696 0.3838 0.0769
0.2304 0.6162 0.9231
0.8465 0.9232 0.3837
0.1535 0.0768 0.6163
```

Per-record formation energy, eV/atom: 0.555 0.008 0.548 0.022 0.013 0.122 0.018 0.123 0.026 0.259 0.119 0.026
Per-record magnetic moment, μB/cell: 0.0 0.0 3.3 0.0 0.0 0.0 0.0 0.0 0.0 0.0 0.0 0.0